Record 1
A plane-wave DFT calculation with PBE was carried out for a relaxed CaTl2Te crystal.

The space group is Cm (No. 8) and the conventional cell measures 11.151, 4.335 and 5.674 Å, with angles of 90.00, 112.15 and 90.00 degrees. The distinct sites, in fractional coordinates, are Ca at (0.000, 0.000, 0.000), Tl at (0.227, 0.000, 0.620), Tl at (0.477, 0.000, 0.466) and Te at (0.221, 0.500, 0.061).

The electronic total energy is -2.99 eV per atom. As for the excess energy over the best structure of this formula in the dataset: 68 meV per atom. Its calculated density is 7.536 g/cm3. The uncorrected formation energy is -523 meV per atom.

***

Record 2
A plane-wave DFT calculation with PBE was carried out for a relaxed CaTl5Te4 crystal.

The space group is C2/m (No. 12) and the conventional cell measures 19.290, 4.812 and 8.167 Å, with angles of 90.00, 104.13 and 90.00 degrees. The distinct sites, in fractional coordinates, are Ca at (0.000, 0.000, 0.000), Tl at (0.000, 0.000, 0.500), Tl at (0.174, 0.500, 0.582), Tl at (0.199, 0.500, 0.091), Te at (0.055, 0.500, 0.813) and Te at (0.145, 0.000, 0.305).

The electronic total energy is -3.14 eV per atom. Its calculated density is 7.103 g/cm3. The uncorrected formation energy is -498 meV per atom.

***

Record 3
A plane-wave DFT calculation with PBE was carried out for a relaxed CaTl2Te crystal.

The space group is P4/mmm (No. 123) and the conventional cell measures 4.433, 4.433 and 6.442 Å, with angles of 90.00, 90.00 and 90.00 degrees. The distinct sites, in fractional coordinates, are Ca at (0.000, 0.000, 0.000), Tl at (0.500, 0.500, 0.255) and Te at (0.000, 0.000, 0.500).

The electronic total energy is -2.82 eV per atom. As for the excess energy over the best structure of this formula in the dataset: 240 meV per atom. Its calculated density is 7.559 g/cm3. The uncorrected formation energy is -350 meV per atom.

***

Record 4
A plane-wave DFT calculation with PBE was carried out for a relaxed CaTlTe crystal.

The space group is R-3m (No. 166, hexagonal axes) and the conventional cell measures 5.3471, 5.3471 and 26.9988 Å, with angles of 90.00, 90.00 and 120.00 degrees. The distinct sites, in fractional coordinates, are Ca at (0.0000, 0.0000, 0.1035), Tl at (0.0000, 0.0000, 0.3430) and Te at (0.0000, 0.0000, 0.2214).

The electronic total energy is -3.32 eV per atom. As for the excess energy over the best structure of this formula in the dataset: 0 meV per atom. Its calculated density is 5.545 g/cm3. The uncorrected formation energy is -819 meV per atom.

***

Record 5
A plane-wave DFT calculation with PBE was carried out for a relaxed Ca3Tl5Te12 crystal.

The space group is Ia-3d (No. 230) and the conventional cell measures 18.759, 18.759 and 18.759 Å, with angles of 90.00, 90.00 and 90.00 degrees. The distinct sites, in fractional coordinates, are Ca at (0.000, 0.250, 0.125), Tl at (0.000, 0.000, 0.000), Tl at (0.000, 0.250, 0.375) and Te at (0.009, 0.084, 0.667).

The electronic total energy is -3.19 eV per atom. Its calculated density is 5.380 g/cm3. The uncorrected formation energy is -413 meV per atom.

***

Record 6
A plane-wave DFT calculation with PBE was carried out for a relaxed Ca2TlTe crystal.

The space group is I4/mmm (No. 139) and the conventional cell measures 5.155, 5.155 and 8.969 Å, with angles of 90.00, 90.00 and 90.00 degrees. The distinct sites, in fractional coordinates, are Ca at (0.000, 0.500, 0.250), Tl at (0.000, 0.000, 0.000) and Te at (0.000, 0.000, 0.500).

The electronic total energy is -3.08 eV per atom. As for the excess energy over the best structure of this formula in the dataset: 147 meV per atom. Its calculated density is 5.743 g/cm3. The uncorrected formation energy is -705 meV per atom.

***

Record 7
A plane-wave DFT calculation with PBE was carried out for a relaxed Ca2TlTe crystal.

The space group is R-3m (No. 166, hexagonal axes) and the conventional cell measures 4.2371, 4.2371 and 25.9226 Å, with angles of 90.00, 90.00 and 120.00 degrees. The distinct sites, in fractional coordinates, are Ca at (0.0000, 0.0000, 0.2415), Tl at (0.0000, 0.0000, 0.0000) and Te at (0.0000, 0.0000, 0.5000).

The electronic total energy is -3.23 eV per atom. As for the excess energy over the best structure of this formula in the dataset: 0 meV per atom. Its calculated density is 5.093 g/cm3. The uncorrected formation energy is -853 meV per atom.

***

Record 8
A plane-wave DFT calculation with PBE was carried out for a relaxed CaTlTe3 crystal.

The space group is Pm-3m (No. 221) and the conventional cell measures 5.921, 5.921 and 5.921 Å, with angles of 90.00, 90.00 and 90.00 degrees. The distinct sites, in fractional coordinates, are Ca at (0.000, 0.000, 0.000), Tl at (0.500, 0.500, 0.500) and Te at (0.000, 0.000, 0.500).

The electronic total energy is -2.96 eV per atom. As for the excess energy over the best structure of this formula in the dataset: 0 meV per atom. Its calculated density is 5.017 g/cm3. The uncorrected formation energy is -198 meV per atom.